Record 1
The following is a DFT calculation (PBE) of an optimized crystal structure of Li7Cd2Au.

Computed properties:
ΔH_f (0 K) (meV per atom): 62
Energy above the lowest structure with this stoichiometry (kJ/mol of formula units): 245.4

Unit cell a=9.633 b=9.633 c=9.633 alpha=90.00 beta=90.00 gamma=90.00
Space group Fm-3m (No. 225)
Symmetry-distinct sites (fractional):
Li: 0.000 0.000 0.000 [4 per cell]
Li: 0.000 0.000 0.250 [24 per cell]
Cd: 0.250 0.250 0.250 [8 per cell]
Au: 0.000 0.000 0.500 [4 per cell]

---

Record 2
The following is a DFT calculation (PBE) of an optimized crystal structure of TbZrCu4.

Computed properties:
ΔH_f (0 K) (meV per atom): -165
Energy above the lowest structure with this stoichiometry (kJ/mol of formula units): 0.0

Unit cell a=3.190 b=4.278 c=7.422 alpha=90.00 beta=90.00 gamma=90.00
Space group Pmmm (No. 47)
Symmetry-distinct sites (fractional):
Tb: 0.000 0.000 0.000 [1 per cell]
Zr: 0.000 0.500 0.500 [1 per cell]
Cu: 0.500 0.000 0.338 [2 per cell]
Cu: 0.500 0.500 0.172 [2 per cell]

---

Record 3
The following is a DFT calculation (PBE) of an optimized crystal structure of V2NiB.

Computed properties:
ΔH_f (0 K) (meV per atom): 188

Unit cell a=6.279 b=6.279 c=4.595 alpha=90.00 beta=90.00 gamma=90.00
Space group I-42d (No. 122)
Symmetry-distinct sites (fractional):
V: 0.216 0.250 0.125 [8 per cell]
Ni: 0.000 0.000 0.500 [4 per cell]
B: 0.000 0.000 0.000 [4 per cell]

---

Record 4
The following is a DFT calculation (PBE) of an optimized crystal structure of PrNd2SmSe4.

Computed properties:
Formation energy without anion corrections (eV/f.u.): -14.65

Unit cell a=7.326 b=4.181 c=7.367 alpha=90.00 beta=108.95 gamma=90.00
Space group P2/m (No. 10)
Symmetry-distinct sites (fractional):
Pr: 0.000 0.000 0.000 [1 per cell]
Nd: 0.500 0.000 0.500 [1 per cell]
Nd: 0.500 0.500 0.000 [1 per cell]
Sm: 0.000 0.500 0.500 [1 per cell]
Se: 0.247 0.000 0.745 [2 per cell]
Se: 0.250 0.500 0.254 [2 per cell]

---

Record 5
The following is a DFT calculation (PBE) of an optimized crystal structure of GdTmZn4.

Computed properties:
ΔH_f (0 K) (meV per atom): -331

Unit cell a=7.712 b=7.712 c=7.712 alpha=90.00 beta=90.00 gamma=90.00
Space group F-43m (No. 216)
Symmetry-distinct sites (fractional):
Gd: 0.000 0.000 0.000 [4 per cell]
Tm: 0.250 0.250 0.750 [4 per cell]
Zn: 0.125 0.125 0.375 [16 per cell]

---

Record 6
The following is a DFT calculation (PBE) of an optimized crystal structure of Dy5Pb2N.

Computed properties:
Formation energy without anion corrections (eV/f.u.): -2.21

Unit cell a=4.707 b=16.987 c=12.258 alpha=90.00 beta=90.00 gamma=90.00
Space group Cmcm (No. 63)
Symmetry-distinct sites (fractional):
Dy: 0.000 0.113 0.115 [8 per cell]
Dy: 0.000 0.270 0.750 [4 per cell]
Dy: 0.000 0.304 0.083 [8 per cell]
Pb: 0.000 0.073 0.631 [8 per cell]
N: 0.000 0.215 0.250 [4 per cell]

---

Record 7
The following is a DFT calculation (PBE) of an optimized crystal structure of FeSe3.

Computed properties:
Formation energy without anion corrections (eV/f.u.): 0.57

Unit cell a=2.850 b=2.850 c=9.798 alpha=90.00 beta=90.00 gamma=90.00
Space group P4/mmm (No. 123)
Symmetry-distinct sites (fractional):
Fe: 0.000 0.000 0.000 [1 per cell]
Se: 0.000 0.000 0.500 [1 per cell]
Se: 0.500 0.500 0.159 [2 per cell]

---

Record 8
The following is a DFT calculation (PBE) of an optimized crystal structure of La2BrCl.

Computed properties:
Formation energy without anion corrections (eV/f.u.): -4.62
Energy above the lowest structure with this stoichiometry (kJ/mol of formula units): 102.4

Unit cell a=5.267 b=5.267 c=3.730 alpha=90.00 beta=90.00 gamma=90.00
Space group P4/mmm (No. 123)
Symmetry-distinct sites (fractional):
La: 0.000 0.500 0.000 [2 per cell]
Br: 0.000 0.000 0.500 [1 per cell]
Cl: 0.500 0.500 0.500 [1 per cell]

---

Record 9
The following is a DFT calculation (PBE) of an optimized crystal structure of Sm8Tm2Sc.

Computed properties:
ΔH_f (0 K) (meV per atom): 115
Energy above the lowest structure with this stoichiometry (kJ/mol of formula units): 0.0

Unit cell a=5.627 b=7.953 c=16.076 alpha=90.00 beta=90.00 gamma=90.00
Space group Immm (No. 71)
Symmetry-distinct sites (fractional):
Sm: 0.000 0.000 0.168 [4 per cell]
Sm: 0.000 0.208 0.368 [8 per cell]
Sm: 0.000 0.283 0.000 [4 per cell]
Tm: 0.000 0.500 0.200 [4 per cell]
Sc: 0.000 0.500 0.500 [2 per cell]

---

Record 10
The following is a DFT calculation (PBE) of an optimized crystal structure of K2TiPd.

Computed properties:
ΔH_f (0 K) (meV per atom): 1002
Energy above the lowest structure with this stoichiometry (kJ/mol of formula units): 155.6

Unit cell a=8.006 b=8.006 c=8.006 alpha=90.00 beta=90.00 gamma=90.00
Space group Fm-3m (No. 225)
Symmetry-distinct sites (fractional):
K: 0.250 0.250 0.250 [8 per cell]
Ti: 0.000 0.000 0.000 [4 per cell]
Pd: 0.000 0.000 0.500 [4 per cell]

---

Record 11
The following is a DFT calculation (PBE) of an optimized crystal structure of BeCuRh2.

Computed properties:
ΔH_f (0 K) (meV per atom): -179

Unit cell a=2.739 b=2.739 c=6.432 alpha=90.00 beta=90.00 gamma=90.00
Space group P4mm (No. 99)
Symmetry-distinct sites (fractional):
Be: 0.000 0.000 0.000 [1 per cell]
Cu: 0.500 0.500 0.208 [1 per cell]
Rh: 0.000 0.000 0.490 [1 per cell]
Rh: 0.500 0.500 0.788 [1 per cell]

---

Record 12
The following is a DFT calculation (PBE) of an optimized crystal structure of Rb12LiCl4O4.

Computed properties:
Formation energy without anion corrections (eV/f.u.): -26.52
Energy above the lowest structure with this stoichiometry (kJ/mol of formula units): 0.0

Unit cell a=8.586 b=8.897 c=9.512 alpha=87.67 beta=87.79 gamma=89.35
Space group P1 (No. 1)
Symmetry-distinct sites (fractional):
Rb: 0.000 0.000 0.000 [1 per cell]
Rb: 0.005 0.881 0.426 [1 per cell]
Rb: 0.035 0.401 0.917 [1 per cell]
Rb: 0.218 0.271 0.259 [1 per cell]
Rb: 0.241 0.101 0.677 [1 per cell]
Rb: 0.385 0.707 0.471 [1 per cell]
Rb: 0.410 0.953 0.113 [1 per cell]
Rb: 0.518 0.354 0.919 [1 per cell]
Rb: 0.609 0.052 0.436 [1 per cell]
Rb: 0.700 0.789 0.748 [1 per cell]
Rb: 0.710 0.636 0.171 [1 per cell]
Rb: 0.822 0.468 0.498 [1 per cell]
Li: 0.309 0.681 0.940 [1 per cell]
Cl: 0.114 0.738 0.758 [1 per cell]
Cl: 0.117 0.666 0.149 [1 per cell]
Cl: 0.804 0.259 0.192 [1 per cell]
Cl: 0.827 0.162 0.720 [1 per cell]
O: 0.245 0.184 0.974 [1 per cell]
O: 0.304 0.008 0.399 [1 per cell]
O: 0.514 0.672 0.957 [1 per cell]
O: 0.702 0.744 0.451 [1 per cell]

---

Calculated values (eV/atom) of total DFT energy (no corrections) for the records, taken in order: -1.79; -5.09; -7.49; -5.95; -4.27; -5.12; -4.59; -4.50; -4.71; -2.82; -5.81; -3.20.
Calculated values (μB/cell) of size of the total moment for the records, taken in order: 0.00; 0.00; 0.00; 0.00; 28.29; 0.01; 1.21; 0.00; 0.00; 12.69; 0.00; 0.44.